# 1
An optimized crystal structure of Pr7Nd2. Source: the Alexandria database, functional PBE.

The density of states at the Fermi level is 13.6 states/eV per cell. Its formation energy from the elements is 0.01 eV/atom. Its space group is P-31m. As for the distance to the lowest polymorph of the same formula: 0 meV/atom.

Unit cell a=6.431 b=6.431 c=9.045 alpha=90.00 beta=90.00 gamma=120.00
Sites, in units of the cell vectors:
Pr  0.000  0.333  0.667
Pr  0.000  0.667  0.333
Pr  0.333  0.000  0.667
Pr  0.667  0.667  0.667
Pr  0.000  0.000  0.000
Pr  0.333  0.333  0.333
Nd  0.667  0.333  0.000
Pr  0.667  0.000  0.333
Nd  0.333  0.667  0.000



# 2
An optimized crystal structure of AgSe2BrN. Source: the Alexandria database, functional PBE.

The density of states at the Fermi level is 2.5 states/eV per cell. Its space group is P4/mmm. The calculation puts the uncorrected formation energy at 0.716 eV/atom. As for the distance to the lowest polymorph of the same formula: 0 meV/atom.

Unit cell a=4.103 b=4.103 c=8.189 alpha=90.00 beta=90.00 gamma=90.00
Sites, in units of the cell vectors:
Se  0.500  0.000  0.000
Se  0.000  0.500  0.000
N  0.000  0.000  0.000
Br  0.000  0.000  0.500
Ag  0.500  0.500  0.500



# 3
An optimized crystal structure of TbScAlIr. Source: the Alexandria database, functional PBE.

The density of states at the Fermi level is 3.1 states/eV per cell. Its formation energy from the elements is -0.59 eV/atom. Its space group is F-43m.

Unit cell a=4.838 b=4.838 c=4.838 alpha=60.00 beta=60.00 gamma=60.00
Sites, in units of the cell vectors:
Sc  0.250  0.250  0.250
Ir  0.000  0.000  0.000
Al  0.500  0.500  0.500
Tb  0.750  0.750  0.750



no.,raw total energy (eV/cell),ρ (g cm⁻³)
1,-42.9,6.534
2,-16.2,4.333
3,-25.9,8.774